No. 1
Here is crystalline HfGaF3 at its relaxed geometry from the Alexandria database. Energies are from PBE.

Energy above the lowest structure with this stoichiometry = 25.37 kcal/mol of atoms
Uncorrected formation energy = -1.029 eV/atom
E = -0.3489 Ry per atom

Lattice parameters (Å, degrees): 4.296 4.296 4.296 90.00 90.00 90.00
Space group Pm-3m (No. 221)
Asymmetric unit:
Hf: 0.000 0.000 0.000 (multiplicity 1)
Ga: 0.500 0.500 0.500 (multiplicity 1)
F: 0.000 0.500 0.500 (multiplicity 3)

No. 2
Here is crystalline HfGaF3 at its relaxed geometry from the Alexandria database. Energies are from PBE.

Energy above the lowest structure with this stoichiometry = 0.00 kcal/mol of atoms
Uncorrected formation energy = -2.129 eV/atom
E = -0.4298 Ry per atom

Lattice parameters (Å, degrees): 4.305 4.305 4.305 90.00 90.00 90.00
Space group Pm-3m (No. 221)
Asymmetric unit:
Hf: 0.000 0.000 0.000 (multiplicity 1)
Ga: 0.500 0.500 0.500 (multiplicity 1)
F: 0.000 0.000 0.500 (multiplicity 3)

No. 3
Here is crystalline HfGaF2 at its relaxed geometry from the Alexandria database. Energies are from PBE.

Energy above the lowest structure with this stoichiometry = 1.55 kcal/mol of atoms
Uncorrected formation energy = -1.787 eV/atom
E = -0.4386 Ry per atom

Lattice parameters (Å, degrees): 4.219 4.219 14.524 90.00 90.00 90.00
Space group I-42d (No. 122)
Asymmetric unit:
Hf: 0.000 0.000 0.000 (multiplicity 4)
Ga: 0.000 0.000 0.500 (multiplicity 4)
F: 0.112 0.250 0.125 (multiplicity 8)

No. 4
Here is crystalline HfGaF2 at its relaxed geometry from the Alexandria database. Energies are from PBE.

Energy above the lowest structure with this stoichiometry = 17.71 kcal/mol of atoms
Uncorrected formation energy = -1.086 eV/atom
E = -0.3871 Ry per atom

Lattice parameters (Å, degrees): 6.087 6.087 6.087 90.00 90.00 90.00
Space group Fm-3m (No. 225)
Asymmetric unit:
Hf: 0.000 0.000 0.000 (multiplicity 4)
Ga: 0.000 0.000 0.500 (multiplicity 4)
F: 0.250 0.250 0.250 (multiplicity 8)

No. 5
Here is crystalline HfGaF5 at its relaxed geometry from the Alexandria database. Energies are from PBE.

Uncorrected formation energy = -3.183 eV/atom
E = -0.4685 Ry per atom

Lattice parameters (Å, degrees): 9.504 7.680 8.115 90.00 111.25 90.00
Space group C2/c (No. 15)
Asymmetric unit:
Hf: 0.000 0.000 0.000 (multiplicity 4)
Ga: 0.000 0.483 0.250 (multiplicity 4)
F: 0.000 0.061 0.750 (multiplicity 4)
F: 0.030 0.250 0.071 (multiplicity 8)
F: 0.221 0.035 0.586 (multiplicity 8)

No. 6
Here is crystalline HfGaF at its relaxed geometry from the Alexandria database. Energies are from PBE.

Uncorrected formation energy = -1.409 eV/atom
E = -0.4674 Ry per atom

Lattice parameters (Å, degrees): 14.193 3.070 5.317 90.00 90.00 90.00
Space group Amm2 (No. 38)
Asymmetric unit:
Hf: 0.159 0.000 0.000 (multiplicity 4)
Ga: 0.000 0.000 0.333 (multiplicity 2)
Ga: 0.500 0.000 0.340 (multiplicity 2)
F: 0.260 0.000 0.333 (multiplicity 4)

No. 7
Here is crystalline HfGaF2 at its relaxed geometry from the Alexandria database. Energies are from PBE.

Energy above the lowest structure with this stoichiometry = 0.00 kcal/mol of atoms
Uncorrected formation energy = -1.854 eV/atom
E = -0.4436 Ry per atom

Lattice parameters (Å, degrees): 2.9109 2.9109 29.0614 90.00 90.00 120.00
Space group R-3m (No. 166, hexagonal axes)
Asymmetric unit:
Hf: 0.0000 0.0000 0.0000 (multiplicity 3)
Ga: 0.0000 0.0000 0.5000 (multiplicity 3)
F: 0.0000 0.0000 0.3860 (multiplicity 6)

No. 8
Here is crystalline HfGa3F at its relaxed geometry from the Alexandria database. Energies are from PBE.

Energy above the lowest structure with this stoichiometry = 20.09 kcal/mol of atoms
Uncorrected formation energy = 0.410 eV/atom
E = -0.2772 Ry per atom

Lattice parameters (Å, degrees): 5.354 5.354 5.354 90.00 90.00 90.00
Space group Pm-3m (No. 221)
Asymmetric unit:
Hf: 0.000 0.000 0.000 (multiplicity 1)
Ga: 0.000 0.000 0.500 (multiplicity 3)
F: 0.500 0.500 0.500 (multiplicity 1)

No. 9
Here is crystalline HfGaF2 at its relaxed geometry from the Alexandria database. Energies are from PBE.

Energy above the lowest structure with this stoichiometry = 0.74 kcal/mol of atoms
Uncorrected formation energy = -1.822 eV/atom
E = -0.4412 Ry per atom

Lattice parameters (Å, degrees): 3.1827 3.1827 26.0145 90.00 90.00 120.00
Space group R-3m (No. 166, hexagonal axes)
Asymmetric unit:
Hf: 0.0000 0.0000 0.0000 (multiplicity 3)
Ga: 0.0000 0.0000 0.5000 (multiplicity 3)
F: 0.0000 0.0000 0.0755 (multiplicity 6)

No. 10
Here is crystalline HfGa2F at its relaxed geometry from the Alexandria database. Energies are from PBE.

Energy above the lowest structure with this stoichiometry = 0.00 kcal/mol of atoms
Uncorrected formation energy = -0.603 eV/atom
E = -0.3728 Ry per atom

Lattice parameters (Å, degrees): 8.153 8.153 4.317 90.00 90.00 90.00
Space group I-42d (No. 122)
Asymmetric unit:
Hf: 0.000 0.000 0.000 (multiplicity 4)
Ga: 0.179 0.250 0.625 (multiplicity 8)
F: 0.000 0.000 0.500 (multiplicity 4)

No. 11
Here is crystalline HfGa2F at its relaxed geometry from the Alexandria database. Energies are from PBE.

Energy above the lowest structure with this stoichiometry = 5.94 kcal/mol of atoms
Uncorrected formation energy = -0.345 eV/atom
E = -0.3539 Ry per atom

Lattice parameters (Å, degrees): 6.556 6.556 6.556 90.00 90.00 90.00
Space group Fm-3m (No. 225)
Asymmetric unit:
Hf: 0.000 0.000 0.000 (multiplicity 4)
Ga: 0.250 0.250 0.250 (multiplicity 8)
F: 0.000 0.000 0.500 (multiplicity 4)

No. 12
Here is crystalline HfGaNF2 at its relaxed geometry from the Alexandria database. Energies are from PBE.

Energy above the lowest structure with this stoichiometry = 24.63 kcal/mol of atoms
Uncorrected formation energy = -0.755 eV/atom
E = -0.4237 Ry per atom

Lattice parameters (Å, degrees): 4.079 4.079 3.733 90.00 90.00 90.00
Space group P4/mmm (No. 123)
Asymmetric unit:
Hf: 0.000 0.000 0.000 (multiplicity 1)
Ga: 0.500 0.500 0.500 (multiplicity 1)
N: 0.500 0.500 0.000 (multiplicity 1)
F: 0.000 0.500 0.500 (multiplicity 2)

No. 13
Here is crystalline HfGaNF2 at its relaxed geometry from the Alexandria database. Energies are from PBE.

Energy above the lowest structure with this stoichiometry = 0.00 kcal/mol of atoms
Uncorrected formation energy = -1.823 eV/atom
E = -0.5022 Ry per atom

Lattice parameters (Å, degrees): 4.235 4.235 4.185 90.00 90.00 90.00
Space group P4/mmm (No. 123)
Asymmetric unit:
Hf: 0.000 0.000 0.000 (multiplicity 1)
Ga: 0.500 0.500 0.500 (multiplicity 1)
N: 0.000 0.000 0.500 (multiplicity 1)
F: 0.000 0.500 0.000 (multiplicity 2)

No. 14
Here is crystalline HfGaN2F at its relaxed geometry from the Alexandria database. Energies are from PBE.

Energy above the lowest structure with this stoichiometry = 0.00 kcal/mol of atoms
Uncorrected formation energy = -0.698 eV/atom
E = -0.5144 Ry per atom

Lattice parameters (Å, degrees): 4.225 4.225 4.122 90.00 90.00 90.00
Space group P4/mmm (No. 123)
Asymmetric unit:
Hf: 0.000 0.000 0.000 (multiplicity 1)
Ga: 0.500 0.500 0.500 (multiplicity 1)
N: 0.000 0.500 0.000 (multiplicity 2)
F: 0.000 0.000 0.500 (multiplicity 1)

No. 15
Here is crystalline HfGaN2F at its relaxed geometry from the Alexandria database. Energies are from PBE.

Energy above the lowest structure with this stoichiometry = 5.16 kcal/mol of atoms
Uncorrected formation energy = -0.474 eV/atom
E = -0.4979 Ry per atom

Lattice parameters (Å, degrees): 3.934 3.934 3.612 90.00 90.00 90.00
Space group P4/mmm (No. 123)
Asymmetric unit:
Hf: 0.000 0.000 0.000 (multiplicity 1)
Ga: 0.500 0.500 0.500 (multiplicity 1)
N: 0.000 0.500 0.500 (multiplicity 2)
F: 0.500 0.500 0.000 (multiplicity 1)

No. 16
Here is crystalline NaHfGaF6 at its relaxed geometry from the Alexandria database. Energies are from PBE.

Uncorrected formation energy = -3.128 eV/atom
E = -0.4384 Ry per atom

Lattice parameters (Å, degrees): 5.9227 5.9227 10.3518 90.00 90.00 120.00
Space group P-31c (No. 163)
Asymmetric unit:
Na: 0.3333 0.6667 0.2500 (multiplicity 2)
Hf: 0.3333 0.6667 0.7500 (multiplicity 2)
Ga: 0.0000 0.0000 0.0000 (multiplicity 2)
F: 0.0418 0.3918 0.6425 (multiplicity 12)

No. 17
Here is crystalline HfGa2SnF at its relaxed geometry from the Alexandria database. Energies are from PBE.

Uncorrected formation energy = 0.104 eV/atom
E = -0.3140 Ry per atom

Lattice parameters (Å, degrees): 5.278 5.278 4.160 90.00 90.00 90.00
Space group P4/mmm (No. 123)
Asymmetric unit:
Hf: 0.000 0.000 0.000 (multiplicity 1)
Ga: 0.000 0.500 0.500 (multiplicity 2)
Sn: 0.500 0.500 0.500 (multiplicity 1)
F: 0.500 0.500 0.000 (multiplicity 1)

No. 18
Here is crystalline GaHgF at its relaxed geometry from the Alexandria database. Energies are from PBE.

Uncorrected formation energy = -0.979 eV/atom
E = -0.1993 Ry per atom

Lattice parameters (Å, degrees): 3.5787 3.5787 6.4134 90.00 90.00 120.00
Space group P3m1 (No. 156)
Asymmetric unit:
Ga: 0.0000 0.0000 0.0000 (multiplicity 1)
Hg: 0.6667 0.3333 0.6059 (multiplicity 1)
F: 0.3333 0.6667 0.1555 (multiplicity 1)

No. 19
Here is crystalline Ga3Hg12F5 at its relaxed geometry from the Alexandria database. Energies are from PBE.

Uncorrected formation energy = -0.460 eV/atom
E = -0.1149 Ry per atom

Lattice parameters (Å, degrees): 16.016 16.016 16.016 90.00 90.00 90.00
Space group Ia-3d (No. 230)
Asymmetric unit:
Ga: 0.000 0.250 0.125 (multiplicity 24)
Hg: 0.025 0.075 0.652 (multiplicity 96)
F: 0.000 0.000 0.000 (multiplicity 16)
F: 0.000 0.250 0.375 (multiplicity 24)